Here is a relaxed MnOsAu2 crystal from Alexandria. Energies are from GGA-PBEsol.

Properties
The formation energy comes out at 9.541 kcal/mol of atoms. As for the crystal system: orthorhombic. As for the relative energy among the computed polymorphs: 0.183 eV per atom.

a b c (Å): 5.5946 7.9077 2.7617
angles (deg): 90.00 90.00 90.00
Last column: nearest neighbours and their distance in Å.
Space group Cmmm (No. 65)
One atom of each set of equivalent atoms:
Mn (0.0000, 0.0000, 0.0000) x2  2 Mn 2.76, 8 Au 2.79, 2 Os 2.80
Os (0.0000, 0.5000, 0.0000) x2  2 Os 2.76, 8 Au 2.79, 2 Mn 2.80
Au (0.2500, 0.2500, 0.5000) x4  4 Au 2.76-2.80, 4 Mn 2.79, 4 Os 2.79